1.
A plane-wave DFT calculation with PBE-GGA was carried out for a relaxed CsReCl2 crystal.

- crystal system = tetragonal
- SG = I-42d, No. 122

abc: 6.225 6.225 7.881
angles: 66.74 66.74 90.00
Positions (direct):
Cs: 0.500 0.500 0.000
Cs: 0.250 0.750 0.500
Re: 0.000 0.000 0.000
Re: 0.750 0.250 0.500
Cl: 0.781 0.125 0.250
Cl: 0.969 0.625 0.250
Cl: 0.375 0.219 0.750
Cl: 0.875 0.031 0.750

2.
A plane-wave DFT calculation with PBE-GGA was carried out for a relaxed CsReCl3 crystal.

- crystal system = triclinic
- SG = P-1, No. 2

abc: 5.189 9.194 7.902
angles: 67.87 90.02 106.43
Last column: magnetic moment on the atom in μB.
Positions (direct):
Cs: 0.583 0.133 0.354  0.00
Cs: 0.374 0.713 0.067  0.00
Re: 0.730 0.428 0.713  0.81
Re: 0.226 0.418 0.709  0.81
Cl: 0.823 0.612 0.399  0.03
Cl: 0.584 0.136 0.825  0.04
Cl: 0.372 0.710 0.596  0.04
Cl: 0.133 0.234 0.023  0.03
Cl: 0.766 0.499 0.970  0.04
Cl: 0.190 0.347 0.451  0.04

3.
A plane-wave DFT calculation with PBE-GGA was carried out for a relaxed CsReCl3 crystal.

- crystal system = cubic
- SG = Pm-3m, No. 221

abc: 5.033 5.033 5.033
angles: 90.00 90.00 90.00
Last column: magnetic moment on the atom in μB.
Positions (direct):
Cs: 0.500 0.500 0.500  0.00
Re: 0.000 0.000 0.000  2.34
Cl: 0.000 0.500 0.000  0.03
Cl: 0.000 0.000 0.500  0.04
Cl: 0.500 0.000 0.000  0.08

4.
A plane-wave DFT calculation with PBE-GGA was carried out for a relaxed Cs2ReCl crystal.

- crystal system = cubic
- SG = Fm-3m, No. 225

abc: 6.263 6.263 6.263
angles: 60.00 60.00 60.00
Last column: magnetic moment on the atom in μB.
Positions (direct):
Cs: 0.250 0.250 0.250  0.01
Cs: 0.750 0.750 0.750  0.01
Re: 0.500 0.500 0.500  3.22
Cl: 0.000 0.000 0.000  0.01

The following size of the total moment values (in μB per cell) correspond, in order, to the records above: 0.00 2.33 2.92 4.00.
The following energy values (in eV per atom) correspond, in order, to the records above: -4.100 -4.427 -4.294 -3.286.
The following density of states at the Fermi level values (in states/eV/cell) correspond, in order, to the records above: 3.0 3.2 2.2 9.4.